Material: KTe2Mo
Method: DFT, PBE
State: relaxed

Unit cell a=5.7677 b=5.7677 c=3.2468 alpha=90.12 beta=90.12 gamma=89.98
With the nearest neighbours (Å) after each atom.
Positions (direct):
K 0.0000 0.0000 0.0000  2 K 3.25, 8 Te 3.31
Te 0.0000 0.5000 0.5000  2 Te 3.25, 4 Mo 3.31, 4 K 3.31
Te 0.5000 0.0000 0.5000  2 Te 3.25, 4 Mo 3.31, 4 K 3.31
Mo 0.5000 0.5000 0.0000  2 Mo 3.25, 8 Te 3.31

Calculated values
The calculated total energy is -16.95 eV per cell. The calculation puts the density of states at the Fermi level at 0.237 states/eV per atom. The density comes out at 6.0 g cm⁻³. The space group is No. 12. As for the crystal system: monoclinic. For the total moment, the calculation gives 3.7 μB per formula unit.